1.
The following is a DFT calculation (PBEsol) of crystalline Cu2Pt at its relaxed geometry.

Symmetry   C2/c (15)
Calculated volume   38.1 Å³/f.u.
DOS at the Fermi energy   0.423 states/eV/atom
Formation energy   -93 meV per atom

Structure (POSCAR):
```
Cu2Pt
1.0
4.534 -0.003 -0.003
0.688 5.810 0.009
0.688 0.529 5.786
Cu Pt
8 4
Direct
0.503 0.660 0.827 Cu
0.497 0.340 0.173 Cu
0.250 0.745 0.255 Cu
0.250 0.422 0.578 Cu
0.750 0.578 0.422 Cu
0.750 0.255 0.745 Cu
0.003 0.827 0.660 Cu
0.997 0.173 0.340 Cu
0.250 0.085 0.915 Pt
0.500 0.000 0.500 Pt
0.750 0.915 0.085 Pt
0.000 0.500 0.000 Pt
```

2.
The following is a DFT calculation (PBEsol) of crystalline CdPW at its relaxed geometry.

Symmetry   F-43m (216)
Calculated volume   60.4 Å³/f.u.
DOS at the Fermi energy   1.058 states/eV/atom
Formation energy   1831 meV per atom

Structure (POSCAR):
```
CdPW
1.0
-4.036 -1.622 0.699
-2.466 -1.315 -3.405
-0.789 -4.289 -0.622
W Cd P
1 1 1
Direct
0.500 0.500 0.500 W
0.250 0.250 0.250 Cd
0.000 0.000 0.000 P
```

3.
The following is a DFT calculation (PBEsol) of crystalline YZn2Hg at its relaxed geometry.

Symmetry   P4mm (99)
Calculated volume   77.0 Å³/f.u.
DOS at the Fermi energy   0.603 states/eV/atom
Formation energy   -233 meV per atom

Structure (POSCAR):
```
YZn2Hg
1.0
-3.016 -1.319 -0.231
-0.072 -0.408 3.274
-2.866 6.424 0.738
Zn Hg Y
2 1 1
Direct
0.000 0.000 0.042 Zn
0.500 0.500 0.223 Zn
0.000 0.000 0.468 Hg
0.500 0.500 0.766 Y
```